K4Pa3MoO12, optimized geometry, DFT GGA+U; ρ = 5955 kg/m³; E_tot = -7.721 eV/atom; Fermi-level density of states = 8.060 states/eV/cell
1.0
-6.420 -1.306 3.528
3.048 -6.463 -2.078
4.656 3.584 4.567
O K Pa Mo
12 4 3 1
Cartesian
-2.127 -3.315 2.749
-0.420 0.543 1.929
3.411 -0.870 3.268
-1.725 -0.803 4.410
-0.803 -1.851 0.346
-2.569 -5.918 1.105
3.009 -3.382 1.607
0.240 -4.604 1.348
1.835 -0.686 0.593
5.868 -2.193 1.896
-1.344 1.735 6.167
1.044 0.419 4.670
2.328 1.792 2.283
1.524 -3.231 -1.039
-3.210 -0.653 1.764
0.642 -2.093 3.009
-0.882 1.139 4.048
3.852 -1.440 1.245
-1.686 -3.884 0.725
0.000 0.000 0.000